(1)
Material: La2Pm3Pr8
Method: DFT, PBE
State: optimized geometry

a = 6.308 Å, b = 12.081 Å, c = 9.046 Å
α = 131.90°, β = 72.82°, γ = 90.00°
Atoms (fractional coordinates):
Pm  0.000  0.757  0.000
Pm  0.000  0.243  0.000
Pm  0.500  0.000  0.000
Pr  0.217  0.558  0.115
Pr  0.673  0.575  0.659
Pr  0.327  0.425  0.341
Pr  0.327  0.916  0.341
Pr  0.051  0.848  0.696
Pr  0.673  0.084  0.659
Pr  0.783  0.442  0.885
Pr  0.949  0.152  0.304
La  0.651  0.711  0.421
La  0.349  0.289  0.579

Computed properties:
The value obtained for the polymorph energy (0 for the lowest one) is 0.0000 eV/atom.

=====

(2)
Material: La6PmPr5
Method: DFT, PBE
State: optimized geometry

a = 9.854 Å, b = 6.425 Å, c = 11.127 Å
α = 54.96°, β = 67.98°, γ = 49.27°
Atoms (fractional coordinates):
Pr  0.500  0.166  0.667
Pr  0.000  0.334  0.333
Pr  0.500  0.834  0.333
Pr  0.500  0.500  0.000
Pr  0.000  0.666  0.667
Pm  0.000  0.000  0.000
La  0.249  0.917  0.667
La  0.751  0.749  0.000
La  0.249  0.251  0.000
La  0.751  0.083  0.333
La  0.249  0.584  0.333
La  0.751  0.416  0.667

Computed properties:
The value obtained for the polymorph energy (0 for the lowest one) is 0.0026 eV/atom.

=====

(3)
Material: La2PmPr7
Method: DFT, PBE
State: optimized geometry

a = 3.514 Å, b = 15.211 Å, c = 15.702 Å
α = 154.39°, β = 90.00°, γ = 90.00°
Atoms (fractional coordinates):
Pr  0.000  0.770  0.381
Pr  0.500  0.619  0.819
Pr  0.000  0.230  0.619
Pr  0.500  0.500  0.500
Pr  0.500  0.381  0.181
Pr  0.500  0.110  0.309
Pr  0.500  0.890  0.691
La  0.500  0.275  0.865
La  0.500  0.725  0.135
Pm  0.000  0.000  0.000

Computed properties:
The value obtained for the polymorph energy (0 for the lowest one) is 0.0086 eV/atom.

=====

(4)
Material: La2PmPr
Method: DFT, PBE
State: optimized geometry

a = 3.728 Å, b = 3.728 Å, c = 12.255 Å
α = 81.25°, β = 81.25°, γ = 60.00°
Atoms (fractional coordinates):
La  0.084  0.084  0.748
La  0.249  0.249  0.254
Pr  0.668  0.668  0.997
Pm  0.500  0.500  0.501

Computed properties:
The value obtained for the polymorph energy (0 for the lowest one) is 0.0056 eV/atom.

=====

(5)
Material: La3Pm3Pr5
Method: DFT, PBE
State: optimized geometry

a = 3.542 Å, b = 11.546 Å, c = 11.546 Å
α = 120.00°, β = 90.00°, γ = 90.00°
Atoms (fractional coordinates):
Pm  0.000  0.404  0.404
Pm  0.000  0.000  0.596
Pm  0.000  0.596  0.000
Pr  0.500  0.333  0.667
Pr  0.500  0.667  0.333
Pr  0.500  0.838  0.000
Pr  0.500  0.162  0.162
Pr  0.500  0.000  0.838
La  0.500  0.660  0.660
La  0.500  0.000  0.340
La  0.500  0.340  0.000

=====

(6)
Material: La6PmPr4
Method: DFT, PBE
State: optimized geometry

a = 9.755 Å, b = 9.755 Å, c = 9.755 Å
α = 59.86°, β = 138.68°, γ = 138.68°
Atoms (fractional coordinates):
Pr  0.364  0.367  0.367
Pr  0.000  0.997  0.633
Pr  0.636  0.003  0.003
Pr  0.000  0.633  0.997
La  0.318  0.543  0.543
La  0.500  0.000  0.500
La  0.000  0.457  0.776
La  0.682  0.224  0.224
La  0.500  0.500  0.000
La  0.000  0.776  0.457
Pm  0.000  0.000  0.000

Computed properties:
The value obtained for the polymorph energy (0 for the lowest one) is 0.1185 eV/atom.

=====

(7)
Material: LaPmPr14
Method: DFT, PBE
State: optimized geometry

a = 7.417 Å, b = 7.417 Å, c = 10.536 Å
α = 90.00°, β = 90.00°, γ = 89.98°
Atoms (fractional coordinates):
Pr  0.626  0.374  0.750
Pr  0.875  0.125  0.500
Pr  0.375  0.125  0.500
Pr  0.124  0.876  0.750
Pr  0.124  0.374  0.750
Pr  0.124  0.876  0.250
Pr  0.626  0.374  0.250
Pr  0.875  0.625  0.500
Pr  0.375  0.125  0.000
Pr  0.124  0.374  0.250
Pr  0.875  0.625  0.000
Pr  0.626  0.876  0.750
Pr  0.626  0.876  0.250
Pr  0.375  0.625  0.500
La  0.375  0.625  0.000
Pm  0.875  0.125  0.000

=====

(8)
Material: La6Pm3Pr
Method: DFT, PBE
State: optimized geometry

a = 6.541 Å, b = 8.381 Å, c = 8.381 Å
α = 113.48°, β = 105.08°, γ = 105.08°
Atoms (fractional coordinates):
La  0.016  0.243  0.000
La  0.773  0.757  0.757
La  0.016  0.000  0.243
La  0.194  0.000  0.635
La  0.559  0.365  0.365
La  0.194  0.635  0.000
Pr  0.490  0.000  0.000
Pm  0.639  0.496  0.000
Pm  0.639  0.000  0.496
Pm  0.143  0.504  0.504

Computed properties:
The value obtained for the polymorph energy (0 for the lowest one) is 0.0820 eV/atom.

=====

(9)
Material: La2PmPr12
Method: DFT, PBE
State: optimized geometry

a = 6.700 Å, b = 6.700 Å, c = 25.771 Å
α = 90.00°, β = 90.00°, γ = 90.00°
Atoms (fractional coordinates):
Pm  0.000  0.500  0.000
Pm  0.500  0.000  0.000
La  0.000  0.500  0.265
La  0.500  0.000  0.265
La  0.000  0.500  0.735
La  0.500  0.000  0.735
Pr  0.500  0.500  0.785
Pr  0.500  0.500  0.662
Pr  0.688  0.188  0.113
Pr  0.312  0.812  0.113
Pr  0.188  0.688  0.887
Pr  0.500  0.500  0.338
Pr  0.000  0.000  0.338
Pr  0.500  0.500  0.215
Pr  0.000  0.000  0.215
Pr  0.000  0.000  0.785
Pr  0.832  0.332  0.562
Pr  0.668  0.832  0.562
Pr  0.188  0.312  0.113
Pr  0.688  0.812  0.887
Pr  0.668  0.168  0.438
Pr  0.832  0.668  0.438
Pr  0.312  0.188  0.887
Pr  0.332  0.832  0.438
Pr  0.000  0.000  0.662
Pr  0.168  0.668  0.562
Pr  0.332  0.168  0.562
Pr  0.812  0.312  0.887
Pr  0.812  0.688  0.113
Pr  0.168  0.332  0.438

=====

(10)
Material: La2PmPr7
Method: DFT, PBE
State: optimized geometry

a = 3.545 Å, b = 15.330 Å, c = 15.330 Å
α = 154.01°, β = 90.00°, γ = 90.00°
Atoms (fractional coordinates):
Pr  0.500  0.854  0.656
Pr  0.000  0.190  0.810
Pr  0.500  0.344  0.146
Pr  0.500  0.146  0.344
Pr  0.500  0.500  0.500
Pr  0.000  0.810  0.190
Pr  0.500  0.656  0.854
La  0.500  0.703  0.297
La  0.500  0.297  0.703
Pm  0.000  0.000  0.000

Computed properties:
The value obtained for the polymorph energy (0 for the lowest one) is 0.0000 eV/atom.

=====

(11)
Material: La2Pm5Pr
Method: DFT, PBE
State: optimized geometry

a = 5.767 Å, b = 6.708 Å, c = 16.468 Å
α = 90.00°, β = 90.00°, γ = 115.46°
Atoms (fractional coordinates):
Pr  0.741  0.482  0.750
Pr  0.259  0.518  0.250
Pm  0.618  0.237  0.949
Pm  0.077  0.155  0.410
Pm  0.463  0.926  0.750
Pm  0.923  0.845  0.910
Pm  0.077  0.155  0.090
Pm  0.382  0.763  0.051
Pm  0.537  0.074  0.250
Pm  0.618  0.237  0.551
Pm  0.382  0.763  0.449
Pm  0.923  0.845  0.590
La  0.220  0.440  0.871
La  0.220  0.440  0.629
La  0.780  0.560  0.129
La  0.780  0.560  0.371

Computed properties:
The value obtained for the polymorph energy (0 for the lowest one) is 0.0285 eV/atom.

=====

(12)
Material: LaPm5Pr
Method: DFT, PBE
State: optimized geometry

a = 5.859 Å, b = 8.016 Å, c = 8.016 Å
α = 67.07°, β = 68.56°, γ = 68.56°
Atoms (fractional coordinates):
Pm  0.500  0.820  0.180
Pm  0.500  0.180  0.820
Pm  0.752  0.248  0.248
Pm  0.248  0.752  0.752
Pm  0.000  0.500  0.500
La  0.000  0.000  0.000
Pr  0.500  0.500  0.500

Computed properties:
The value obtained for the polymorph energy (0 for the lowest one) is 0.7998 eV/atom.

=====

Total magnetization: 0.00 0.00 0.00 0.00 0.00 0.00 0.00 0.00 0.00 0.00 0.00 0.13 (μB per cell)
Calculated formation energy: 3.36 0.26 3.33 0.34 6.43 5.37 0.25 6.14 6.56 3.14 2.83 22.10 (kcal/mol of atoms)